## NaLaNbInO6 (PBE)

Data for a relaxed structure of NaLaNbInO6.

## Properties
Its total magnetization is 0.0 μB/f.u. The crystal system is cubic. The value obtained for the total energy is -72.1 eV per cell.

abc: 5.805 5.805 5.805
angles: 60.00 60.00 60.00
Element x y z (fractional)
Na 0.000 0.000 0.000
La 0.500 0.500 0.500
Nb 0.250 0.250 0.250
In 0.750 0.750 0.750
O 0.008 0.008 0.492
O 0.008 0.492 0.008
O 0.008 0.492 0.492
O 0.492 0.008 0.008
O 0.492 0.008 0.492
O 0.492 0.492 0.008

***

## SiAg2P (PBE)

Data for a relaxed structure of SiAg2P.

## Properties
The value obtained for the polymorph energy (0 for the lowest one) is 45 meV/atom. Its total magnetization is 0.0 μB/f.u. The crystal system is monoclinic. The value obtained for the total energy is -15.7 eV per cell.

abc: 6.139 6.139 4.404
angles: 101.21 101.21 26.15
Element x y z (fractional)
Si 0.000 0.000 0.000
Ag 0.454 0.454 0.472
Ag 0.741 0.741 0.615
P 0.197 0.197 0.088

***

## Y8HoTm3 (PBE)

Data for a relaxed structure of Y8HoTm3.

## Properties
Its total magnetization is 0.0 μB/f.u. The crystal system is orthorhombic. The value obtained for the total energy is -67.4 eV per cell. Its formation enthalpy at 0 K is 0.20 eV/atom.

abc: 6.735 6.735 9.849
angles: 90.00 90.00 118.00
Element x y z (fractional)
Y 0.249 0.751 0.188
Y 0.249 0.751 0.812
Y 0.250 0.250 0.313
Y 0.250 0.250 0.687
Y 0.750 0.750 0.313
Y 0.750 0.750 0.687
Y 0.751 0.249 0.188
Y 0.751 0.249 0.812
Ho 0.500 0.500 0.000
Tm 0.000 0.000 0.000
Tm 0.000 0.500 0.500
Tm 0.500 0.000 0.500

***

## Tl2I3O9 (PBE)

Data for a relaxed structure of Tl2I3O9.

## Properties
Its total magnetization is 0.0 μB/f.u. The crystal system is triclinic. The value obtained for the total energy is -121.5 eV per cell.

abc: 7.226 7.266 10.796
angles: 87.73 73.23 72.35
Element x y z (fractional)
Tl 0.000 0.000 0.000
Tl 0.169 0.045 0.594
Tl 0.500 0.500 0.000
Tl 0.831 0.955 0.406
I 0.027 0.526 0.811
I 0.421 0.448 0.366
I 0.448 0.962 0.192
I 0.552 0.038 0.808
I 0.579 0.552 0.634
I 0.973 0.474 0.189
O 0.054 0.548 0.320
O 0.086 0.212 0.181
O 0.158 0.547 0.048
O 0.285 0.149 0.812
O 0.323 0.838 0.326
O 0.334 0.560 0.608
O 0.418 0.201 0.407
O 0.431 0.827 0.053
O 0.456 0.620 0.811
O 0.544 0.380 0.189
O 0.569 0.173 0.947
O 0.582 0.799 0.593
O 0.666 0.440 0.392
O 0.677 0.162 0.674
O 0.715 0.851 0.188
O 0.842 0.453 0.952
O 0.914 0.788 0.819
O 0.946 0.452 0.680

***

## PaCdSn3 (PBE)

Data for a relaxed structure of PaCdSn3.

## Properties
Its total magnetization is 0.5 μB/f.u. The crystal system is triclinic. The value obtained for the total energy is -22.6 eV per cell. Its formation enthalpy at 0 K is -0.04 eV/atom.

abc: 3.337 4.606 8.697
angles: 74.72 89.98 89.94
Element x y z (fractional)
Pa 0.000 0.000 0.000
Cd 0.486 0.795 0.411
Sn 0.498 0.598 0.804
Sn 0.501 0.409 0.183
Sn 0.980 0.203 0.592

***

## BaNbH (PBE)

Data for a relaxed structure of BaNbH.

## Properties
The value obtained for the polymorph energy (0 for the lowest one) is 71 meV/atom. Its total magnetization is 0.0 μB/f.u. The crystal system is orthorhombic. The value obtained for the total energy is -29.8 eV per cell.

abc: 3.950 9.988 9.988
angles: 20.31 90.00 90.00
Element x y z (fractional)
Ba 0.000 0.000 0.000
Ba 0.500 0.182 0.182
Nb 0.000 0.817 0.817
Nb 0.500 0.358 0.358
H 0.000 0.374 0.374
H 0.500 0.567 0.567